# 1
! FeCoCl2 | Alexandria | PBE-GGA | relaxed; values from VASP
! E_form (uncorrected): 16.35 kcal/mol of atoms
&SYSTEM
  ibrav = 0, nat = 4, ntyp = 3
/
ATOMIC_SPECIES
Co 58.93 Co.upf
Fe 55.84 Fe.upf
Cl 35.45 Cl.upf
ATOMIC_POSITIONS angstrom
Co -3.523 -4.234 0.173
Fe -5.284 -6.351 0.259
Cl 0.000 0.000 0.000
Cl -1.761 -2.117 0.086
CELL_PARAMETERS angstrom
-3.039 -2.349 -2.344
-0.380 -4.440 0.623
-3.627 -1.680 2.066


# 2
! LaSmCuSe4 | Alexandria | PBE-GGA | relaxed; values from VASP
! E_form (uncorrected): -33.29 kcal/mol of atoms
&SYSTEM
  ibrav = 0, nat = 14, ntyp = 4
/
ATOMIC_SPECIES
La 138.91 La.upf
Sm 150.36 Sm.upf
Cu 63.55 Cu.upf
Se 78.96 Se.upf
ATOMIC_POSITIONS angstrom
La 2.818 4.451 7.558
La 1.694 1.484 0.571
Sm 4.078 4.451 3.570
Sm 0.435 1.484 4.559
Cu 1.024 4.451 2.550
Cu 3.489 1.484 5.580
Se -1.855 3.024 5.972
Se 6.368 0.057 2.157
Se 6.368 2.911 2.157
Se -1.855 5.878 5.972
Se 2.772 4.451 0.927
Se 1.741 1.484 7.203
Se 1.455 4.451 4.903
Se 3.057 1.484 3.227
CELL_PARAMETERS angstrom
7.133 0.000 0.134
0.000 5.935 0.000
-2.621 0.000 7.996


# 3
! MgI2BrO | Alexandria | PBE-GGA | relaxed; values from VASP
! E_form (uncorrected): 6.89 kcal/mol of atoms
! Energy relative to the lowest polymorph listed for this composition: 0.644 eV/atom
&SYSTEM
  ibrav = 0, nat = 5, ntyp = 4
/
ATOMIC_SPECIES
I 126.90 I.upf
Mg 24.30 Mg.upf
O 16.00 O.upf
Br 79.90 Br.upf
ATOMIC_POSITIONS angstrom
I -1.278 -0.100 -2.747
I -1.686 2.422 0.696
Mg -4.397 1.120 -1.341
O -1.433 -1.201 0.711
Br 0.000 0.000 0.000
CELL_PARAMETERS angstrom
-3.371 4.844 1.391
-2.556 -0.201 -5.495
-2.866 -2.403 1.421


# 4
! CeFe9Co3 | Alexandria | PBE-GGA | relaxed; values from VASP
! Formation enthalpy at 0 K: -4 kJ/mol of atoms
&SYSTEM
  ibrav = 0, nat = 13, ntyp = 3
/
ATOMIC_SPECIES
Ce 140.12 Ce.upf
Fe 55.84 Fe.upf
Co 58.93 Co.upf
ATOMIC_POSITIONS angstrom
Ce 0.000 0.000 0.000
Fe 6.157 -7.226 1.340
Fe 1.831 -2.364 0.545
Fe 4.891 -3.694 2.751
Fe 3.097 -5.896 -0.866
Fe 2.903 -4.573 1.362
Fe 5.084 -5.017 0.522
Fe 3.586 -7.378 1.219
Fe 4.402 -2.212 0.666
Fe 1.139 -2.408 -1.792
Co 1.193 -4.418 -0.582
Co 2.801 -0.377 1.524
Co 2.855 -2.387 2.735
CELL_PARAMETERS angstrom
0.108 -4.020 2.421
2.277 -4.816 -3.585
5.603 -0.754 3.048